Entry 1:
The following is a PBE-GGA calculation of a relaxed Mg2HPt3 crystal, from the Alexandria database.

```
6
Lattice="2.687 1.551 3.537 -2.687 1.551 3.537 0.000 -3.102 3.537" Properties=species:S:1:pos:R:3 pbc="T T T"
Mg 0.000 0.000 1.335
Mg 0.000 0.000 9.276
H 0.000 0.000 5.306
Pt -1.343 -0.776 3.537
Pt -1.343 0.776 7.074
Pt 0.000 1.551 3.537
```

Properties
* D(E_F): 2.75 states/eV/f.u.
* calculated volume: 88 Å³/cell
* E: -26.88 eV for the cell shown
* SG: R-3m, No. 166

=====

Entry 2:
The following is a PBE-GGA calculation of a relaxed MgH12Pt7 crystal, from the Alexandria database.

```
20
Lattice="4.806 2.775 2.308 -4.806 2.775 2.308 0.000 -5.550 2.308" Properties=species:S:1:pos:R:3 pbc="T T T"
Mg 0.000 0.000 0.000
H -3.152 1.076 2.283
H -0.857 -1.030 2.093
H 0.644 -3.268 2.283
H -2.508 -2.192 4.641
H -0.463 1.257 2.093
H 1.320 -0.227 2.093
H -1.320 0.227 4.832
H 0.463 -1.257 4.832
H 2.508 2.192 2.283
H -0.644 3.268 4.641
H 0.857 1.030 4.832
H 3.152 -1.076 4.641
Pt -2.859 -0.893 3.529
Pt -0.656 -2.923 3.395
Pt -2.203 2.029 3.395
Pt 0.000 0.000 3.462
Pt 2.203 -2.029 3.529
Pt 0.656 2.923 3.529
Pt 2.859 0.893 3.395
```

Properties
* D(E_F): 2.44 states/eV/f.u.
* calculated volume: 185 Å³/cell
* E: -84.90 eV for the cell shown
* SG: R-3, No. 148

=====

Entry 3:
The following is a PBE-GGA calculation of a relaxed Mg4HPt2 crystal, from the Alexandria database.

```
14
Lattice="3.979 0.000 0.000 0.000 3.979 0.000 0.000 0.000 14.192" Properties=species:S:1:pos:R:3 pbc="T T T"
Mg 0.000 0.000 2.524
Mg 0.000 0.000 11.668
Mg 0.000 1.990 0.000
Mg 0.000 1.990 7.096
Mg 1.990 0.000 0.000
Mg 1.990 0.000 7.096
Mg 1.990 1.990 4.572
Mg 1.990 1.990 9.621
H 0.000 0.000 0.000
H 1.990 1.990 7.096
Pt 0.000 0.000 5.216
Pt 0.000 0.000 8.977
Pt 1.990 1.990 1.880
Pt 1.990 1.990 12.312
```

Properties
* D(E_F): 0.78 states/eV/f.u.
* calculated volume: 225 Å³/cell
* E: -50.79 eV for the cell shown
* SG: I4/mmm, No. 139